[1]
VASP calculation (SCAN) on a crystal of TaNi2TeSe relaxed with PBEsol.

Output
The calculation puts the formation energy from raw total energies at -2.51 eV per formula unit. As for the space group: Pnma, No. 62. The density of states at the Fermi level comes out at 0.531 states/eV per atom.

Cell lengths 3.472, 6.375, 16.361 Å; angles 90.00, 90.00, 90.00 degrees
Sites, in units of the cell vectors:
Ta  0.750  0.091  0.722
Ni  0.250  0.896  0.819
Ni  0.750  0.215  0.321
Se  0.250  0.591  0.901
Te  0.250  0.410  0.403
Se  0.250  0.091  0.599
Ni  0.250  0.396  0.681
Ni  0.750  0.104  0.181
Se  0.750  0.409  0.099
Ni  0.750  0.604  0.319
Te  0.750  0.090  0.903
Ta  0.250  0.909  0.278
Ta  0.750  0.591  0.778
Se  0.750  0.909  0.401
Te  0.250  0.910  0.097
Ta  0.250  0.409  0.222
Ni  0.250  0.285  0.821
Ni  0.750  0.715  0.179
Ni  0.250  0.785  0.679
Te  0.750  0.590  0.597

[2]
VASP calculation (SCAN) on a crystal of SiAg2Ru relaxed with PBEsol.

Output
The calculation puts the formation energy from raw total energies at 1.85 eV per formula unit. As for the space group: R-3m, No. 166. The density of states at the Fermi level comes out at 0.485 states/eV per atom.

Cell lengths 2.774, 2.774, 9.174 Å; angles 81.30, 81.30, 60.00 degrees
Sites, in units of the cell vectors:
Ag  0.748  0.748  0.756
Ag  0.252  0.252  0.244
Ru  0.500  0.500  0.500
Si  0.000  0.000  0.000

[3]
VASP calculation (SCAN) on a crystal of BaSc3Mn relaxed with PBEsol.

Output
The formation energy comes out at 1.322 eV per atom. As for the space group: Pm-3m, No. 221. The density of states at the Fermi level comes out at 0.928 states/eV per atom.

Cell lengths 5.182, 5.182, 5.182 Å; angles 90.00, 90.00, 90.00 degrees
Sites, in units of the cell vectors:
Sc  0.000  0.000  0.500
Sc  0.500  0.000  0.000
Sc  0.000  0.500  0.000
Ba  0.000  0.000  0.000
Mn  0.500  0.500  0.500

[4]
VASP calculation (SCAN) on a crystal of Mg7Ag relaxed with PBEsol.

Output
The formation energy comes out at -0.024 eV per atom. As for the space group: Fm-3m, No. 225. The density of states at the Fermi level comes out at 0.423 states/eV per atom.

Cell lengths 6.205, 6.205, 6.205 Å; angles 60.00, 60.00, 60.00 degrees
Sites, in units of the cell vectors:
Mg  0.000  0.000  0.500
Mg  0.000  0.500  0.000
Mg  0.500  0.500  0.000
Mg  0.500  0.500  0.500
Ag  0.000  0.000  0.000
Mg  0.000  0.500  0.500
Mg  0.500  0.000  0.000
Mg  0.500  0.000  0.500

[5]
VASP calculation (SCAN) on a crystal of TbHo3 relaxed with PBEsol.

Output
The formation energy comes out at 0.020 eV per atom. As for the space group: I4/mmm, No. 139. The density of states at the Fermi level comes out at 1.175 states/eV per atom.

Cell lengths 4.880, 4.880, 5.979 Å; angles 114.09, 114.09, 90.00 degrees
Sites, in units of the cell vectors:
Ho  0.500  0.500  0.000
Ho  0.250  0.750  0.500
Tb  0.000  0.000  0.000
Ho  0.750  0.250  0.500

[6]
VASP calculation (SCAN) on a crystal of Hf2SnH2 relaxed with PBEsol.

Output
As for the space group: I4/mmm, No. 139. As for the total energy: -34.063 eV/atom. The density of states at the Fermi level comes out at 0.272 states/eV per atom.

Cell lengths 3.762, 3.762, 5.406 Å; angles 110.36, 110.36, 90.00 degrees
Sites, in units of the cell vectors:
H  0.750  0.250  0.500
H  0.250  0.750  0.500
Sn  0.000  0.000  0.000
Hf  0.334  0.334  0.669
Hf  0.666  0.666  0.331

[7]
VASP calculation (SCAN) on a crystal of GaHgMo2 relaxed with PBEsol.

Output
The formation energy comes out at 0.557 eV per atom. As for the space group: Fm-3m, No. 225. The density of states at the Fermi level comes out at 0.975 states/eV per atom.

Cell lengths 4.486, 4.486, 4.486 Å; angles 60.00, 60.00, 60.00 degrees
Sites, in units of the cell vectors:
Mo  0.750  0.750  0.750
Hg  0.500  0.500  0.500
Mo  0.250  0.250  0.250
Ga  0.000  0.000  0.000

[8]
VASP calculation (SCAN) on a crystal of Na3BiBAsO7 relaxed with PBEsol.

Output
The calculation puts the formation energy from raw total energies at -24.32 eV per formula unit. As for the space group: P2_1/m, No. 11. The density of states at the Fermi level comes out at 0.000 states/eV per atom.

Cell lengths 5.288, 7.203, 9.512 Å; angles 90.00, 91.52, 90.00 degrees
Sites, in units of the cell vectors:
B  0.266  0.750  0.934
Bi  0.765  0.250  0.348
Na  0.235  0.250  0.939
As  0.297  0.250  0.601
O  0.618  0.250  0.608
O  0.817  0.935  0.305
Na  0.244  0.508  0.230
Na  0.756  0.008  0.770
O  0.965  0.250  0.145
O  0.517  0.250  0.149
Bi  0.235  0.750  0.652
O  0.183  0.065  0.695
Na  0.765  0.750  0.061
O  0.206  0.250  0.425
O  0.183  0.435  0.695
As  0.703  0.750  0.399
O  0.035  0.750  0.855
Na  0.756  0.492  0.770
B  0.734  0.250  0.066
O  0.382  0.750  0.392
O  0.794  0.750  0.575
Na  0.244  0.992  0.230
O  0.817  0.565  0.305
O  0.483  0.750  0.851
O  0.725  0.250  0.925
O  0.275  0.750  0.075